(1)
This record from Alexandria via LeMat-Bulk describes PHF4 after structural relaxation. The functional is PBEsol.

```
data_PHF4
_chemical_formula_sum 'P4 H4 F16'
_symmetry_space_group_name_H-M 'P 1 21/c 1'
_symmetry_Int_Tables_number 14
_symmetry_space_group_name_Hall '-P 2ybc'
_cell_length_a 4.4844
_cell_length_b 8.6618
_cell_length_c 8.0969
_cell_angle_alpha 90.00
_cell_angle_beta 98.08
_cell_angle_gamma 90.00
loop_
_atom_site_label
_atom_site_type_symbol
_atom_site_fract_x
_atom_site_fract_y
_atom_site_fract_z
P1 P 0.0860 0.1551 0.2261
H1 H 0.1673 0.6014 0.3797
F1 F 0.1337 0.7216 0.1467
F2 F 0.2218 0.1802 0.7118
F3 F 0.2573 0.0550 0.3687
F4 F 0.3026 0.0890 0.0968
```

(2)
This record from Alexandria via LeMat-Bulk describes PHSF2 after structural relaxation. The functional is PBEsol.

```
data_PHSF2
_chemical_formula_sum 'P4 H4 S4 F8'
_symmetry_space_group_name_H-M 'P 1 21/c 1'
_symmetry_Int_Tables_number 14
_symmetry_space_group_name_Hall '-P 2ybc'
_cell_length_a 9.3318
_cell_length_b 4.3598
_cell_length_c 8.3842
_cell_angle_alpha 90.00
_cell_angle_beta 98.44
_cell_angle_gamma 90.00
loop_
_atom_site_label
_atom_site_type_symbol
_atom_site_fract_x
_atom_site_fract_y
_atom_site_fract_z
P1 P 0.2428 0.0359 0.4193
H1 H 0.2840 0.6864 0.0395
S1 S 0.3869 0.2326 0.8354
F1 F 0.1267 0.2278 0.4946
F2 F 0.1360 0.6508 0.7925
```

(3)
This record from Alexandria via LeMat-Bulk describes TaPHF2 after structural relaxation. The functional is PBEsol.

```
data_TaPHF2
_chemical_formula_sum 'Ta1 P1 H1 F2'
_symmetry_space_group_name_H-M 'P 4/m m m'
_symmetry_Int_Tables_number 123
_symmetry_space_group_name_Hall '-P 4 2'
_cell_length_a 3.9618
_cell_length_b 3.9618
_cell_length_c 4.8690
_cell_angle_alpha 90.00
_cell_angle_beta 90.00
_cell_angle_gamma 90.00
loop_
_atom_site_label
_atom_site_type_symbol
_atom_site_fract_x
_atom_site_fract_y
_atom_site_fract_z
Ta1 Ta 0.0000 0.0000 0.0000
P1 P 0.0000 0.0000 0.5000
H1 H 0.5000 0.5000 0.5000
F1 F 0.0000 0.5000 0.0000
```

(4)
This record from Alexandria via LeMat-Bulk describes H2PbF after structural relaxation. The functional is PBEsol.

```
data_H2PbF
_chemical_formula_sum 'H8 Pb4 F4'
_symmetry_space_group_name_H-M 'I -4 2 d'
_symmetry_Int_Tables_number 122
_symmetry_space_group_name_Hall 'I -4 2bw'
_cell_length_a 3.8759
_cell_length_b 3.8759
_cell_length_c 12.9068
_cell_angle_alpha 90.00
_cell_angle_beta 90.00
_cell_angle_gamma 90.00
loop_
_atom_site_label
_atom_site_type_symbol
_atom_site_fract_x
_atom_site_fract_y
_atom_site_fract_z
H1 H 0.1619 0.2500 0.1250
Pb1 Pb 0.0000 0.0000 0.0000
F1 F 0.0000 0.0000 0.5000
```

(5)
This record from Alexandria via LeMat-Bulk describes SrHPb2F after structural relaxation. The functional is PBEsol.

```
data_SrHPb2F
_chemical_formula_sum 'Sr1 H1 Pb2 F1'
_symmetry_space_group_name_H-M 'P 4/m m m'
_symmetry_Int_Tables_number 123
_symmetry_space_group_name_Hall '-P 4 2'
_cell_length_a 4.7398
_cell_length_b 4.7398
_cell_length_c 5.8475
_cell_angle_alpha 90.00
_cell_angle_beta 90.00
_cell_angle_gamma 90.00
loop_
_atom_site_label
_atom_site_type_symbol
_atom_site_fract_x
_atom_site_fract_y
_atom_site_fract_z
Sr1 Sr 0.0000 0.0000 0.0000
H1 H 0.5000 0.5000 0.0000
Pb1 Pb 0.0000 0.5000 0.5000
F1 F 0.5000 0.5000 0.5000
```

(6)
This record from Alexandria via LeMat-Bulk describes HRu2PtF after structural relaxation. The functional is PBEsol.

```
data_HRu2PtF
_chemical_formula_sum 'H1 Ru2 Pt1 F1'
_symmetry_space_group_name_H-M 'P 4/m m m'
_symmetry_Int_Tables_number 123
_symmetry_space_group_name_Hall '-P 4 2'
_cell_length_a 3.8792
_cell_length_b 3.8792
_cell_length_c 4.7470
_cell_angle_alpha 90.00
_cell_angle_beta 90.00
_cell_angle_gamma 90.00
loop_
_atom_site_label
_atom_site_type_symbol
_atom_site_fract_x
_atom_site_fract_y
_atom_site_fract_z
H1 H 0.0000 0.0000 0.0000
Ru1 Ru 0.0000 0.5000 0.5000
Pt1 Pt 0.5000 0.5000 0.0000
F1 F 0.5000 0.5000 0.5000
```

(7)
This record from Alexandria via LeMat-Bulk describes H2PtSF after structural relaxation. The functional is PBEsol.

```
data_H2PtSF
_chemical_formula_sum 'H2 Pt1 S1 F1'
_symmetry_space_group_name_H-M 'P 4/m m m'
_symmetry_Int_Tables_number 123
_symmetry_space_group_name_Hall '-P 4 2'
_cell_length_a 3.2356
_cell_length_b 3.2356
_cell_length_c 6.5863
_cell_angle_alpha 90.00
_cell_angle_beta 90.00
_cell_angle_gamma 90.00
loop_
_atom_site_label
_atom_site_type_symbol
_atom_site_fract_x
_atom_site_fract_y
_atom_site_fract_z
H1 H 0.0000 0.5000 0.0000
Pt1 Pt 0.0000 0.0000 0.5000
S1 S 0.5000 0.5000 0.5000
F1 F 0.0000 0.0000 0.0000
```

(8)
This record from Alexandria via LeMat-Bulk describes RbHF2 after structural relaxation. The functional is PBEsol.

```
data_RbHF2
_chemical_formula_sum 'Rb4 H4 F8'
_symmetry_space_group_name_H-M 'I 4/m c m'
_symmetry_Int_Tables_number 140
_symmetry_space_group_name_Hall '-I 4 2c'
_cell_length_a 5.8223
_cell_length_b 5.8223
_cell_length_c 7.1535
_cell_angle_alpha 90.00
_cell_angle_beta 90.00
_cell_angle_gamma 90.00
loop_
_atom_site_label
_atom_site_type_symbol
_atom_site_fract_x
_atom_site_fract_y
_atom_site_fract_z
Rb1 Rb 0.0000 0.0000 0.2500
H1 H 0.0000 0.5000 0.0000
F1 F 0.1395 0.3605 0.0000
```

(9)
This record from Alexandria via LeMat-Bulk describes Rb3HF after structural relaxation. The functional is PBEsol.

```
data_Rb3HF
_chemical_formula_sum 'Rb3 H1 F1'
_symmetry_space_group_name_H-M 'P m -3 m'
_symmetry_Int_Tables_number 221
_symmetry_space_group_name_Hall '-P 4 2 3'
_cell_length_a 5.5725
_cell_length_b 5.5725
_cell_length_c 5.5725
_cell_angle_alpha 90.00
_cell_angle_beta 90.00
_cell_angle_gamma 90.00
loop_
_atom_site_label
_atom_site_type_symbol
_atom_site_fract_x
_atom_site_fract_y
_atom_site_fract_z
Rb1 Rb 0.0000 0.0000 0.5000
H1 H 0.0000 0.0000 0.0000
F1 F 0.5000 0.5000 0.5000
```

(10)
This record from Alexandria via LeMat-Bulk describes ReHSe2F after structural relaxation. The functional is PBEsol.

```
data_ReHSe2F
_chemical_formula_sum 'Re1 H1 Se2 F1'
_symmetry_space_group_name_H-M 'P 4/m m m'
_symmetry_Int_Tables_number 123
_symmetry_space_group_name_Hall '-P 4 2'
_cell_length_a 4.7706
_cell_length_b 4.7706
_cell_length_c 4.0620
_cell_angle_alpha 90.00
_cell_angle_beta 90.00
_cell_angle_gamma 90.00
loop_
_atom_site_label
_atom_site_type_symbol
_atom_site_fract_x
_atom_site_fract_y
_atom_site_fract_z
Re1 Re 0.0000 0.0000 0.0000
H1 H 0.5000 0.5000 0.5000
Se1 Se 0.0000 0.5000 0.0000
F1 F 0.0000 0.0000 0.5000
```

(11)
This record from Alexandria via LeMat-Bulk describes SrReHF2 after structural relaxation. The functional is PBEsol.

```
data_SrReHF2
_chemical_formula_sum 'Sr1 Re1 H1 F2'
_symmetry_space_group_name_H-M 'P 4/m m m'
_symmetry_Int_Tables_number 123
_symmetry_space_group_name_Hall '-P 4 2'
_cell_length_a 4.6057
_cell_length_b 4.6057
_cell_length_c 4.7001
_cell_angle_alpha 90.00
_cell_angle_beta 90.00
_cell_angle_gamma 90.00
loop_
_atom_site_label
_atom_site_type_symbol
_atom_site_fract_x
_atom_site_fract_y
_atom_site_fract_z
Sr1 Sr 0.0000 0.0000 0.0000
Re1 Re 0.5000 0.5000 0.5000
H1 H 0.0000 0.0000 0.5000
F1 F 0.0000 0.5000 0.0000
```

(12)
This record from Alexandria via LeMat-Bulk describes HRh2WF after structural relaxation. The functional is PBEsol.

```
data_HRh2WF
_chemical_formula_sum 'H1 Rh2 W1 F1'
_symmetry_space_group_name_H-M 'P 4/m m m'
_symmetry_Int_Tables_number 123
_symmetry_space_group_name_Hall '-P 4 2'
_cell_length_a 3.6876
_cell_length_b 3.6876
_cell_length_c 4.1211
_cell_angle_alpha 90.00
_cell_angle_beta 90.00
_cell_angle_gamma 90.00
loop_
_atom_site_label
_atom_site_type_symbol
_atom_site_fract_x
_atom_site_fract_y
_atom_site_fract_z
H1 H 0.0000 0.0000 0.0000
Rh1 Rh 0.0000 0.5000 0.0000
W1 W 0.5000 0.5000 0.5000
F1 F 0.0000 0.0000 0.5000
```

Number 1: N(E_F) 0.00 states/eV/cell, calculated total energy -118.02 eV per cell. Number 2: N(E_F) 0.00 states/eV/cell, calculated total energy -95.77 eV per cell. Number 3: N(E_F) 2.18 states/eV/cell, calculated total energy -30.01 eV per cell. Number 4: N(E_F) 2.11 states/eV/cell, calculated total energy -53.48 eV per cell. Number 5: N(E_F) 2.63 states/eV/cell, calculated total energy -16.91 eV per cell. Number 6: N(E_F) 5.78 states/eV/cell, calculated total energy -24.03 eV per cell. Number 7: N(E_F) 2.52 states/eV/cell, calculated total energy -18.12 eV per cell. Number 8: N(E_F) 0.00 states/eV/cell, calculated total energy -69.69 eV per cell. Number 9: N(E_F) 1.82 states/eV/cell, calculated total energy -11.62 eV per cell. Number 10: N(E_F) 2.77 states/eV/cell, calculated total energy -24.88 eV per cell. Number 11: N(E_F) 0.41 states/eV/cell, calculated total energy -23.96 eV per cell. Number 12: N(E_F) 4.75 states/eV/cell, calculated total energy -33.75 eV per cell.